[1]
# NiF, optimized geometry, DFT PBE+U
data_NiF
_cell_length_a 2.985
_cell_length_b 2.985
_cell_length_c 6.624
_cell_angle_alpha 90.00
_cell_angle_beta 90.00
_cell_angle_gamma 120.00
_space_group_name_H-M_alt 'P 1'
_space_group_IT_number 1
loop_
_space_group_symop_operation_xyz
'x,y,z'
loop_
_atom_site_label
_atom_site_type_symbol
_atom_site_fract_x
_atom_site_fract_y
_atom_site_fract_z
Ni1 Ni 0.667 0.333 0.191
F1 F 0.667 0.333 0.891
F2 F 0.333 0.667 0.391
Ni2 Ni 0.333 0.667 0.691
# ρ: 5.047 g/cm³
# Excess energy over the best structure of this formula in the dataset: 0.284 eV per atom
# Magnetization: 0.516 μB/atom
# Energy: -11.92 eV/cell

***

[2]
# NiF, optimized geometry, DFT PBE+U
data_NiF
_cell_length_a 2.764
_cell_length_b 2.764
_cell_length_c 3.723
_cell_angle_alpha 90.00
_cell_angle_beta 90.00
_cell_angle_gamma 120.00
_space_group_name_H-M_alt 'P 1'
_space_group_IT_number 1
loop_
_space_group_symop_operation_xyz
'x,y,z'
loop_
_atom_site_label
_atom_site_type_symbol
_atom_site_fract_x
_atom_site_fract_y
_atom_site_fract_z
F1 F 0.000 0.000 0.500
Ni1 Ni 0.000 0.000 0.000
# ρ: 5.236 g/cm³
# Excess energy over the best structure of this formula in the dataset: 0.350 eV per atom
# Magnetization: 0.501 μB/atom
# Energy: -5.83 eV/cell

***

[3]
# NiF, optimized geometry, DFT PBE+U
data_NiF
_cell_length_a 5.926
_cell_length_b 5.926
_cell_length_c 5.926
_cell_angle_alpha 90.00
_cell_angle_beta 90.00
_cell_angle_gamma 90.00
_space_group_name_H-M_alt 'P 1'
_space_group_IT_number 1
loop_
_space_group_symop_operation_xyz
'x,y,z'
loop_
_atom_site_label
_atom_site_type_symbol
_atom_site_fract_x
_atom_site_fract_y
_atom_site_fract_z
F1 F 0.750 0.000 0.500
Ni1 Ni 0.000 0.750 0.500
F2 F 0.500 0.750 0.000
Ni2 Ni 0.750 0.500 0.000
Ni3 Ni 0.500 0.000 0.750
Ni4 Ni 0.000 0.250 0.500
F3 F 0.500 0.250 0.000
Ni5 Ni 0.500 0.000 0.250
F4 F 0.000 0.500 0.750
F5 F 0.000 0.500 0.250
F6 F 0.250 0.000 0.500
Ni6 Ni 0.250 0.500 0.000
# ρ: 3.719 g/cm³
# Excess energy over the best structure of this formula in the dataset: 0.578 eV per atom
# Magnetization: 0.719 μB/atom
# Energy: -32.24 eV/cell

***

[4]
# NiF, optimized geometry, DFT PBE+U
data_NiF
_cell_length_a 8.486
_cell_length_b 8.486
_cell_length_c 2.663
_cell_angle_alpha 90.00
_cell_angle_beta 90.00
_cell_angle_gamma 90.00
_space_group_name_H-M_alt 'P 1'
_space_group_IT_number 1
loop_
_space_group_symop_operation_xyz
'x,y,z'
loop_
_atom_site_label
_atom_site_type_symbol
_atom_site_fract_x
_atom_site_fract_y
_atom_site_fract_z
F1 F 0.195 0.195 0.000
F2 F 0.805 0.195 0.000
F3 F 0.152 0.500 0.500
Ni1 Ni 0.356 0.356 0.500
Ni2 Ni 0.000 0.677 0.000
F4 F 0.805 0.805 0.000
Ni3 Ni 0.644 0.356 0.500
F5 F 0.500 0.152 0.500
F6 F 0.195 0.805 0.000
Ni4 Ni 0.000 0.323 0.000
F7 F 0.500 0.848 0.500
Ni5 Ni 0.356 0.644 0.500
Ni6 Ni 0.323 0.000 0.000
Ni7 Ni 0.644 0.644 0.500
Ni8 Ni 0.677 0.000 0.000
F8 F 0.848 0.500 0.500
# ρ: 5.382 g/cm³
# Excess energy over the best structure of this formula in the dataset: 0.093 eV per atom
# Magnetization: 0.571 μB/atom
# Energy: -50.75 eV/cell

***

[5]
# NiF3, optimized geometry, DFT PBE+U
data_NiF3
_cell_length_a 3.099
_cell_length_b 5.368
_cell_length_c 7.867
_cell_angle_alpha 110.48
_cell_angle_beta 107.15
_cell_angle_gamma 89.84
_space_group_name_H-M_alt 'P 1'
_space_group_IT_number 1
loop_
_space_group_symop_operation_xyz
'x,y,z'
loop_
_atom_site_label
_atom_site_type_symbol
_atom_site_fract_x
_atom_site_fract_y
_atom_site_fract_z
F1 F 0.604 0.905 0.141
F2 F 0.953 0.358 0.470
F3 F 0.047 0.642 0.530
F4 F 0.105 0.404 0.138
F5 F 0.895 0.596 0.862
Ni1 Ni 0.500 0.500 0.000
F6 F 0.396 0.095 0.859
Ni2 Ni 0.000 0.000 0.000
# ρ: 3.301 g/cm³
# Magnetization: 0.490 μB/atom
# Energy: -28.94 eV/cell

***

[6]
# NiF, optimized geometry, DFT PBE+U
data_NiF
_cell_length_a 5.102
_cell_length_b 7.258
_cell_length_c 5.514
_cell_angle_alpha 90.00
_cell_angle_beta 90.00
_cell_angle_gamma 90.00
_space_group_name_H-M_alt 'P 1'
_space_group_IT_number 1
loop_
_space_group_symop_operation_xyz
'x,y,z'
loop_
_atom_site_label
_atom_site_type_symbol
_atom_site_fract_x
_atom_site_fract_y
_atom_site_fract_z
Ni1 Ni 0.000 0.584 0.747
F1 F 0.000 0.833 0.604
Ni2 Ni 0.000 0.416 0.253
F2 F 0.500 0.833 0.896
Ni3 Ni 0.500 0.416 0.247
F3 F 0.500 0.667 0.396
Ni4 Ni 0.500 0.916 0.253
F4 F 0.000 0.667 0.104
Ni5 Ni 0.500 0.584 0.753
F5 F 0.500 0.167 0.104
F6 F 0.000 0.333 0.896
Ni6 Ni 0.500 0.084 0.747
F7 F 0.500 0.333 0.604
F8 F 0.000 0.167 0.396
Ni7 Ni 0.000 0.916 0.247
Ni8 Ni 0.000 0.084 0.753
# ρ: 5.055 g/cm³
# Excess energy over the best structure of this formula in the dataset: 0.118 eV per atom
# Magnetization: 0.569 μB/atom
# Energy: -50.35 eV/cell

***

[7]
# NiF, optimized geometry, DFT PBE+U
data_NiF
_cell_length_a 6.655
_cell_length_b 6.655
_cell_length_c 6.655
_cell_angle_alpha 90.00
_cell_angle_beta 90.00
_cell_angle_gamma 90.00
_space_group_name_H-M_alt 'P 1'
_space_group_IT_number 1
loop_
_space_group_symop_operation_xyz
'x,y,z'
loop_
_atom_site_label
_atom_site_type_symbol
_atom_site_fract_x
_atom_site_fract_y
_atom_site_fract_z
F1 F 0.655 0.345 0.345
F2 F 0.845 0.845 0.155
Ni1 Ni 0.675 0.325 0.675
Ni2 Ni 0.825 0.175 0.175
Ni3 Ni 0.675 0.675 0.325
Ni4 Ni 0.325 0.675 0.675
F3 F 0.345 0.345 0.655
F4 F 0.345 0.655 0.345
F5 F 0.155 0.845 0.845
Ni5 Ni 0.175 0.825 0.175
F6 F 0.655 0.655 0.655
Ni6 Ni 0.325 0.325 0.325
F7 F 0.155 0.155 0.155
F8 F 0.845 0.155 0.845
Ni7 Ni 0.825 0.825 0.825
Ni8 Ni 0.175 0.175 0.825
# ρ: 3.501 g/cm³
# Excess energy over the best structure of this formula in the dataset: 0.330 eV per atom
# Magnetization: 0.508 μB/atom
# Energy: -46.97 eV/cell

***

[8]
# NiF, optimized geometry, DFT PBE+U
data_NiF
_cell_length_a 6.540
_cell_length_b 6.540
_cell_length_c 2.723
_cell_angle_alpha 90.00
_cell_angle_beta 90.00
_cell_angle_gamma 90.00
_space_group_name_H-M_alt 'P 1'
_space_group_IT_number 1
loop_
_space_group_symop_operation_xyz
'x,y,z'
loop_
_atom_site_label
_atom_site_type_symbol
_atom_site_fract_x
_atom_site_fract_y
_atom_site_fract_z
F1 F 0.848 0.848 0.500
Ni1 Ni 0.838 0.162 0.500
Ni2 Ni 0.338 0.338 0.000
Ni3 Ni 0.662 0.662 0.000
F2 F 0.652 0.348 0.000
Ni4 Ni 0.162 0.838 0.500
F3 F 0.348 0.652 0.000
F4 F 0.152 0.152 0.500
# ρ: 4.430 g/cm³
# Excess energy over the best structure of this formula in the dataset: 0.223 eV per atom
# Magnetization: 0.552 μB/atom
# Energy: -24.33 eV/cell

***

[9]
# Ni4F, optimized geometry, DFT PBE+U
data_Ni4F
_cell_length_a 4.009
_cell_length_b 4.009
_cell_length_c 4.009
_cell_angle_alpha 90.00
_cell_angle_beta 90.00
_cell_angle_gamma 90.00
_space_group_name_H-M_alt 'P 1'
_space_group_IT_number 1
loop_
_space_group_symop_operation_xyz
'x,y,z'
loop_
_atom_site_label
_atom_site_type_symbol
_atom_site_fract_x
_atom_site_fract_y
_atom_site_fract_z
Ni1 Ni 0.000 0.500 0.500
F1 F 0.500 0.500 0.500
Ni2 Ni 0.500 0.500 0.000
Ni3 Ni 0.000 0.000 0.000
Ni4 Ni 0.500 0.000 0.500
# ρ: 6.540 g/cm³
# Magnetization: 0.721 μB/atom
# Energy: -8.80 eV/cell

***

[10]
# NiF3, optimized geometry, DFT PBE+U
data_NiF3
_cell_length_a 8.300
_cell_length_b 8.300
_cell_length_c 8.300
_cell_angle_alpha 21.39
_cell_angle_beta 21.39
_cell_angle_gamma 21.39
_space_group_name_H-M_alt 'P 1'
_space_group_IT_number 1
loop_
_space_group_symop_operation_xyz
'x,y,z'
loop_
_atom_site_label
_atom_site_type_symbol
_atom_site_fract_x
_atom_site_fract_y
_atom_site_fract_z
F1 F 0.070 0.070 0.070
Ni1 Ni 0.000 0.000 0.000
F2 F 0.930 0.930 0.930
F3 F 0.500 0.500 0.500
# ρ: 2.884 g/cm³
# Magnetization: 0.252 μB/atom
# Energy: -10.32 eV/cell

***

[11]
# NiF, optimized geometry, DFT PBE+U
data_NiF
_cell_length_a 9.179
_cell_length_b 9.179
_cell_length_c 2.901
_cell_angle_alpha 90.00
_cell_angle_beta 90.00
_cell_angle_gamma 90.00
_space_group_name_H-M_alt 'P 1'
_space_group_IT_number 1
loop_
_space_group_symop_operation_xyz
'x,y,z'
loop_
_atom_site_label
_atom_site_type_symbol
_atom_site_fract_x
_atom_site_fract_y
_atom_site_fract_z
F1 F 0.216 0.500 0.000
Ni1 Ni 0.825 0.825 0.500
F2 F 0.500 0.216 0.000
F3 F 0.500 0.784 0.000
Ni2 Ni 0.325 0.675 0.000
Ni3 Ni 0.825 0.175 0.500
Ni4 Ni 0.675 0.325 0.000
F4 F 0.284 0.000 0.500
Ni5 Ni 0.175 0.175 0.500
Ni6 Ni 0.325 0.325 0.000
F5 F 0.000 0.284 0.500
F6 F 0.784 0.500 0.000
F7 F 0.716 0.000 0.500
Ni7 Ni 0.675 0.675 0.000
F8 F 0.000 0.716 0.500
Ni8 Ni 0.175 0.825 0.500
# ρ: 4.223 g/cm³
# Excess energy over the best structure of this formula in the dataset: 0.307 eV per atom
# Magnetization: 0.501 μB/atom
# Energy: -47.33 eV/cell

***

[12]
# NiF, optimized geometry, DFT PBE+U
data_NiF
_cell_length_a 2.781
_cell_length_b 11.829
_cell_length_c 11.348
_cell_angle_alpha 90.00
_cell_angle_beta 90.00
_cell_angle_gamma 90.00
_space_group_name_H-M_alt 'P 1'
_space_group_IT_number 1
loop_
_space_group_symop_operation_xyz
'x,y,z'
loop_
_atom_site_label
_atom_site_type_symbol
_atom_site_fract_x
_atom_site_fract_y
_atom_site_fract_z
F1 F 0.750 0.626 0.250
Ni1 Ni 0.750 0.750 0.382
Ni2 Ni 0.750 0.250 0.618
F2 F 0.500 0.876 0.000
Ni3 Ni 0.500 0.500 0.632
Ni4 Ni 0.250 0.750 0.618
Ni5 Ni 0.000 0.000 0.368
Ni6 Ni 0.000 0.000 0.632
F3 F 0.000 0.624 0.000
Ni7 Ni 0.500 0.500 0.368
Ni8 Ni 0.250 0.750 0.882
F4 F 0.000 0.376 0.000
F5 F 0.500 0.376 0.500
F6 F 0.750 0.126 0.750
F7 F 0.500 0.124 0.000
Ni9 Ni 0.500 0.000 0.132
F8 F 0.250 0.126 0.250
Ni10 Ni 0.750 0.250 0.882
F9 F 0.750 0.874 0.250
F10 F 0.500 0.624 0.500
Ni11 Ni 0.000 0.500 0.868
F11 F 0.750 0.374 0.750
Ni12 Ni 0.250 0.250 0.118
Ni13 Ni 0.750 0.750 0.118
Ni14 Ni 0.250 0.250 0.382
F12 F 0.250 0.626 0.750
F13 F 0.000 0.876 0.500
Ni15 Ni 0.500 0.000 0.868
F14 F 0.250 0.874 0.750
F15 F 0.250 0.374 0.250
F16 F 0.000 0.124 0.500
Ni16 Ni 0.000 0.500 0.132
# ρ: 5.530 g/cm³
# Excess energy over the best structure of this formula in the dataset: 0.089 eV per atom
# Magnetization: 0.535 μB/atom
# Energy: -101.65 eV/cell